Below is a geometry-optimized KGa2SbO6 structure, with properties calculated at the PBE-GGA level.

The structure belongs to space group C2/c (No. 15); the cell edges are 9.0782, 11.9367 and 6.3795 Å and the angles 90.00°, 113.93° and 90.00°. Symmetry generates all atoms from K at (0.0000, 0.1034, 0.2500), Ga at (0.1259, 0.4290, 0.1577), Sb at (0.0000, 0.2027, 0.7500), O at (0.0952, 0.2763, 0.0383), O at (0.1169, 0.4522, 0.4531) and O at (0.1419, 0.0957, 0.7070).

As for the raw formation energy: -1.589 eV/atom. The final energy comes out at -227.65 eV for the cell shown.

---

Below is a geometry-optimized K2GaSbO4 structure, with properties calculated at the PBE-GGA level.

The structure belongs to space group I-4 (No. 82); the cell edges are 5.9976, 5.9976 and 8.1860 Å and the angles 90.00°, 90.00° and 90.00°. Symmetry generates all atoms from K at (0.0000, 0.0000, 0.0000), K at (0.0000, 0.5000, 0.2500), Ga at (0.0000, 0.5000, 0.7500), Sb at (0.0000, 0.0000, 0.5000) and O at (0.1480, 0.2771, 0.6272).

As for the raw formation energy: -1.530 eV/atom. The final energy comes out at -82.84 eV for the cell shown.